(1)
A relaxed PmPr2In3Te6 crystal. Source: Alexandria via LeMat-Bulk, functional GGA-PBE.

Unit cell a=7.8529 b=7.8529 c=8.5253 alpha=98.83 beta=98.83 gamma=120.01
With the nearest neighbours (Å) after each atom.
Fractional coordinates of all 12 atoms:
Pm1 0.0000 0.0000 0.0000  6 Te 3.18
Pr1 0.3335 0.6665 0.0000  6 Te 3.21-3.22
Pr2 0.6665 0.3335 0.0000  6 Te 3.21-3.22
In1 0.1675 0.8325 0.5000  6 Te 3.42-3.44
In2 0.8325 0.1675 0.5000  6 Te 3.42-3.44
In3 0.5000 0.5000 0.5000  6 Te 3.42-3.44
Te1 0.9243 0.5942 0.7727  1 Pm 3.18, 2 Pr 3.21, 3 In 3.42-3.44
Te2 0.7462 0.7462 0.2283  1 Pm 3.18, 2 Pr 3.22, 3 In 3.42-3.44
Te3 0.0757 0.4058 0.2273  1 Pm 3.18, 2 Pr 3.21, 3 In 3.42-3.44
Te4 0.5942 0.9243 0.7727  1 Pm 3.18, 2 Pr 3.21, 3 In 3.42-3.44
Te5 0.2538 0.2538 0.7717  1 Pm 3.18, 2 Pr 3.22, 3 In 3.42-3.44
Te6 0.4058 0.0757 0.2273  1 Pm 3.18, 2 Pr 3.21, 3 In 3.42-3.44

Results
E_form (uncorrected)	-993	meV/atom
volume	433.27	Å³/f.u.
space-group type	C2/m (12)
final energy	-53.30	eV/f.u.

---

(2)
A relaxed Ga4Rh crystal. Source: Alexandria via LeMat-Bulk, functional GGA-PBE.

Unit cell a=4.7870 b=4.7870 c=4.7870 alpha=90.00 beta=90.00 gamma=90.00
With the nearest neighbours (Å) after each atom.
Fractional coordinates of all 5 atoms:
Rh1 0.5000 0.5000 0.5000  6 Ga 2.39
Ga1 0.0000 0.0000 0.0000  12 Ga 3.38
Ga2 0.5000 0.0000 0.5000  2 Rh 2.39
Ga3 0.0000 0.5000 0.5000  2 Rh 2.39
Ga4 0.5000 0.5000 0.0000  2 Rh 2.39

Results
volume	109.69	Å³/f.u.
DFT formation energy	-0.6	eV/f.u.
space-group type	Pm-3m (221)
energy above the lowest structure with this stoichiometry	206	meV/atom
final energy	-20.05	eV/f.u.

---

(3)
A relaxed Pm2Dy7Tm crystal. Source: Alexandria via LeMat-Bulk, functional GGA-PBE.

Unit cell a=3.5024 b=14.7433 c=14.7433 alpha=154.57 beta=90.00 gamma=90.00
With the nearest neighbours (Å) after each atom.
Fractional coordinates of all 10 atoms:
Pm1 0.5000 0.7076 0.2924  2 Pm 3.50, 8 Dy 3.55-3.74
Pm2 0.5000 0.2924 0.7076  2 Pm 3.50, 8 Dy 3.55-3.74
Dy1 0.0000 0.8149 0.1850  6 Dy 3.45-3.50, 6 Pm 3.55-3.74
Dy2 0.0000 0.1851 0.8150  6 Dy 3.45-3.50, 6 Pm 3.55-3.74
Dy3 0.5000 0.1479 0.3431  7 Dy 3.19-3.50, 1 Pm 3.57
Dy4 0.5000 0.8521 0.6569  7 Dy 3.19-3.50, 1 Pm 3.57
Dy5 0.5000 0.3431 0.1479  7 Dy 3.19-3.50, 1 Pm 3.57
Dy6 0.5000 0.6569 0.8521  7 Dy 3.19-3.50, 1 Pm 3.57
Dy7 0.5000 0.5000 0.5000  6 Dy 3.26-3.50
Tm1 0.0000 0.0000 0.0000  2 Tm 3.50, 12 Dy 3.67-3.69

Results
volume	326.90	Å³/f.u.
DFT formation energy	1.6	eV/f.u.
space-group type	Cmmm (65)
final energy	-44.62	eV/f.u.

---

(4)
A relaxed Rb2NaAu crystal. Source: Alexandria via LeMat-Bulk, functional GGA-PBE.

Unit cell a=4.2735 b=4.2735 c=10.2031 alpha=90.00 beta=90.00 gamma=90.00
With the nearest neighbours (Å) after each atom.
Fractional coordinates of all 4 atoms:
Na1 0.5000 0.5000 0.5000  4 Na 4.27, 8 Rb 4.34
Au1 0.5000 0.5000 0.0000  8 Rb 3.61
Rb1 0.0000 0.0000 0.8058  4 Au 3.61, 1 Rb 3.96
Rb2 0.0000 0.0000 0.1942  4 Au 3.61, 1 Rb 3.96

Results
volume	186.34	Å³/f.u.
DFT formation energy	-0.5	eV/f.u.
space-group type	P4/mmm (123)
energy above the lowest structure with this stoichiometry	23	meV/atom
final energy	-7.06	eV/f.u.

---

(5)
A relaxed Li2ZrCl crystal. Source: Alexandria via LeMat-Bulk, functional GGA-PBE.

Unit cell a=5.8407 b=5.8407 c=5.8407 alpha=150.60 beta=130.31 gamma=58.79
With the nearest neighbours (Å) after each atom.
Fractional coordinates of all 4 atoms:
Cl1 0.2500 0.7500 0.5000  4 Li 2.62, 4 Zr 2.87
Li1 0.0379 0.0379 0.0000  2 Cl 2.62
Li2 0.4621 0.4621 0.0000  2 Cl 2.62
Zr1 0.7500 0.2500 0.5000  4 Cl 2.87, 2 Zr 2.96

Results
E_form (uncorrected)	-246	meV/atom
volume	74.03	Å³/f.u.
space-group type	Immm (71)
energy above the lowest structure with this stoichiometry	349	meV/atom
final energy	-15.20	eV/f.u.

---

(6)
A relaxed LaTiAsSe2 crystal. Source: Alexandria via LeMat-Bulk, functional GGA-PBE.

Unit cell a=5.6424 b=5.6424 c=5.5881 alpha=90.00 beta=90.00 gamma=90.00
With the nearest neighbours (Å) after each atom.
Fractional coordinates of all 5 atoms:
As1 0.0000 0.0000 0.5000  2 La 2.79
Ti1 0.5000 0.5000 0.5000  8 Se 3.97, 4 As 3.99
Se1 0.0000 0.5000 0.0000  2 La 2.82
Se2 0.5000 0.0000 0.0000  2 La 2.82
La1 0.0000 0.0000 0.0000  2 As 2.79, 4 Se 2.82

Results
E_form (uncorrected)	222	meV/atom
volume	177.91	Å³/f.u.
space-group type	P4/mmm (123)
energy above the lowest structure with this stoichiometry	1322	meV/atom
final energy	-23.33	eV/f.u.

---

(7)
A relaxed Tb2NdTmTl2 crystal. Source: Alexandria via LeMat-Bulk, functional GGA-PBE.

Unit cell a=5.1293 b=6.8797 c=10.0445 alpha=90.00 beta=90.00 gamma=90.00
With the nearest neighbours (Å) after each atom.
Fractional coordinates of all 12 atoms:
Tb1 0.5000 0.0521 0.0464  5 Tl 3.23-3.57, 4 Tb 3.51-3.56
Tb2 0.0000 0.3383 0.1825  4 Tl 3.19-3.26, 2 Tb 3.51
Tb3 0.5000 0.5521 0.9536  5 Tl 3.23-3.57, 4 Tb 3.51-3.56
Tb4 0.0000 0.8383 0.8175  4 Tl 3.19-3.26, 2 Tb 3.51
Nd1 0.0000 0.9581 0.4552  5 Tl 3.27-3.52, 2 Tm 3.54, 2 Nd 3.56
Nd2 0.0000 0.4581 0.5448  5 Tl 3.27-3.52, 2 Tm 3.54, 2 Nd 3.56
Tm1 0.5000 0.1765 0.6924  4 Tl 3.17-3.29, 2 Nd 3.54
Tm2 0.5000 0.6765 0.3076  4 Tl 3.17-3.29, 2 Nd 3.54
Tl1 0.0000 0.2971 0.8652  6 Tb 3.19-3.57, 2 Tm 3.21, 1 Nd 3.40
Tl2 0.5000 0.2234 0.3666  2 Tm 3.17-3.29, 3 Tb 3.26-3.42, 4 Nd 3.27-3.52
Tl3 0.0000 0.7971 0.1348  6 Tb 3.19-3.57, 2 Tm 3.21, 1 Nd 3.40
Tl4 0.5000 0.7234 0.6334  2 Tm 3.17-3.29, 3 Tb 3.26-3.42, 4 Nd 3.27-3.52

Results
volume	177.22	Å³/f.u.
DFT formation energy	-1.6	eV/f.u.
space-group type	Pmc2_1 (26)
final energy	-24.83	eV/f.u.

---

> Which value of final energy does entry 6 give?

-23.33 eV/f.u.

---

> What is the formula in the third record?

Pm2Dy7Tm

---

> Look up the volume of the second one.

109.69 Å³/f.u.